# 1
First-principles (PBE) data for crystalline AcTbScSe3 at its relaxed geometry, as listed in Alexandria via LeMat-Bulk.

a b c (Å): 8.592 4.173 9.492
angles (deg): 90.00 106.52 90.00
Space group P2_1/m (No. 11)
Asymmetric unit:
Ac (0.189, 0.250, 0.222) (multiplicity 2)
Tb (0.342, 0.750, 0.862) (multiplicity 2)
Sc (0.104, 0.250, 0.600) (multiplicity 2)
Se (0.104, 0.250, 0.879) (multiplicity 2)
Se (0.236, 0.750, 0.498) (multiplicity 2)
Se (0.447, 0.750, 0.182) (multiplicity 2)

## Properties
The value obtained for the uncorrected formation energy is -1.6215 eV/atom. As for the magnetization: 0.12 μB per atom.


# 2
First-principles (PBE) data for crystalline AcScTe2Se at its relaxed geometry, as listed in Alexandria via LeMat-Bulk.

a b c (Å): 4.445 4.445 15.517
angles (deg): 90.00 90.00 90.00
Space group P4/nmm (No. 129, origin choice 2)
Asymmetric unit:
Ac (0.250, 0.250, 0.140) (multiplicity 2)
Sc (0.250, 0.250, 0.587) (multiplicity 2)
Te (0.250, 0.250, 0.400) (multiplicity 2)
Te (0.250, 0.250, 0.774) (multiplicity 2)
Se (0.250, 0.750, 0.000) (multiplicity 2)

## Properties
The value obtained for the uncorrected formation energy is -1.3627 eV/atom. As for the magnetization: 0.00 μB per atom.


# 3
First-principles (PBE) data for crystalline Ac2ScTe2Se2 at its relaxed geometry, as listed in Alexandria via LeMat-Bulk.

a b c (Å): 5.087 5.087 16.903
angles (deg): 90.00 90.00 90.00
Space group I4/mmm (No. 139)
Asymmetric unit:
Ac (0.000, 0.000, 0.127) (multiplicity 4)
Sc (0.000, 0.000, 0.500) (multiplicity 2)
Te (0.000, 0.000, 0.323) (multiplicity 4)
Se (0.000, 0.500, 0.000) (multiplicity 4)

## Properties
The value obtained for the uncorrected formation energy is -1.6330 eV/atom. As for the magnetization: 0.00 μB per atom.


# 4
First-principles (PBE) data for crystalline Ac2ScTiSe6 at its relaxed geometry, as listed in Alexandria via LeMat-Bulk.

a b c (Å): 6.886 7.601 12.186
angles (deg): 90.00 123.96 90.00
Space group P2_1/c (No. 14)
Asymmetric unit:
Ac (0.213, 0.098, 0.249) (multiplicity 4)
Sc (0.500, 0.000, 0.000) (multiplicity 2)
Ti (0.000, 0.000, 0.500) (multiplicity 2)
Se (0.129, 0.194, 0.951) (multiplicity 4)
Se (0.266, 0.687, 0.951) (multiplicity 4)
Se (0.344, 0.013, 0.745) (multiplicity 4)

## Properties
The value obtained for the uncorrected formation energy is -1.7275 eV/atom. As for the magnetization: 0.10 μB per atom.


# 5
First-principles (PBE) data for crystalline AcSc2Tl3Se6 at its relaxed geometry, as listed in Alexandria via LeMat-Bulk.

a b c (Å): 7.265 12.508 8.090
angles (deg): 90.00 107.32 90.00
Space group C2/m (No. 12)
Asymmetric unit:
Ac (0.000, 0.000, 0.000) (multiplicity 2)
Sc (0.000, 0.333, 0.000) (multiplicity 4)
Tl (0.000, 0.159, 0.500) (multiplicity 4)
Tl (0.000, 0.500, 0.500) (multiplicity 2)
Se (0.199, 0.500, 0.196) (multiplicity 4)
Se (0.249, 0.317, 0.796) (multiplicity 8)

## Properties
The value obtained for the uncorrected formation energy is -1.2924 eV/atom. As for the magnetization: 0.00 μB per atom.


# 6
First-principles (PBE) data for crystalline Ac2ScTl3Se6 at its relaxed geometry, as listed in Alexandria via LeMat-Bulk.

a b c (Å): 7.614 13.129 8.103
angles (deg): 90.00 108.13 90.00
Space group C2/m (No. 12)
Asymmetric unit:
Ac (0.000, 0.167, 0.000) (multiplicity 4)
Sc (0.000, 0.500, 0.000) (multiplicity 2)
Tl (0.000, 0.000, 0.500) (multiplicity 2)
Tl (0.000, 0.332, 0.500) (multiplicity 4)
Se (0.220, 0.349, 0.206) (multiplicity 8)
Se (0.232, 0.500, 0.786) (multiplicity 4)

## Properties
The value obtained for the uncorrected formation energy is -1.3528 eV/atom. As for the magnetization: 0.00 μB per atom.


# 7
First-principles (PBE) data for crystalline Ac2ScTlSe6 at its relaxed geometry, as listed in Alexandria via LeMat-Bulk.

a b c (Å): 7.176 7.949 12.346
angles (deg): 90.00 125.49 90.00
Space group P2_1/c (No. 14)
Asymmetric unit:
Ac (0.204, 0.106, 0.248) (multiplicity 4)
Sc (0.000, 0.000, 0.500) (multiplicity 2)
Tl (0.500, 0.000, 0.000) (multiplicity 2)
Se (0.102, 0.195, 0.940) (multiplicity 4)
Se (0.258, 0.670, 0.944) (multiplicity 4)
Se (0.386, 0.039, 0.748) (multiplicity 4)

## Properties
The value obtained for the uncorrected formation energy is -1.4569 eV/atom. As for the magnetization: 0.00 μB per atom.


# 8
First-principles (PBE) data for crystalline Ac2TmScSe6 at its relaxed geometry, as listed in Alexandria via LeMat-Bulk.

a b c (Å): 7.052 7.757 12.494
angles (deg): 90.00 123.99 90.00
Space group P2_1/c (No. 14)
Asymmetric unit:
Ac (0.214, 0.097, 0.249) (multiplicity 4)
Tm (0.500, 0.000, 0.000) (multiplicity 2)
Sc (0.000, 0.000, 0.500) (multiplicity 2)
Se (0.117, 0.192, 0.942) (multiplicity 4)
Se (0.259, 0.685, 0.943) (multiplicity 4)
Se (0.362, 0.028, 0.745) (multiplicity 4)

## Properties
The value obtained for the uncorrected formation energy is -1.9393 eV/atom. As for the magnetization: 0.00 μB per atom.


# 9
First-principles (PBE) data for crystalline AcTm2ScSe6 at its relaxed geometry, as listed in Alexandria via LeMat-Bulk.

a b c (Å): 7.2313 7.2313 19.2166
angles (deg): 90.00 90.00 120.00
Space group R3 (No. 146, hexagonal axes)
Asymmetric unit:
Ac (0.0000, 0.0000, 0.0000) (multiplicity 3)
Tm (0.0000, 0.0000, 0.2837) (multiplicity 3)
Tm (0.0000, 0.0000, 0.7951) (multiplicity 3)
Sc (0.0000, 0.0000, 0.4800) (multiplicity 3)
Se (0.0190, 0.3448, 0.5499) (multiplicity 9)
Se (0.0243, 0.6160, 0.0523) (multiplicity 9)

## Properties
The value obtained for the uncorrected formation energy is -1.8054 eV/atom. As for the magnetization: 0.00 μB per atom.


# 10
First-principles (PBE) data for crystalline Ac2TmScSe5 at its relaxed geometry, as listed in Alexandria via LeMat-Bulk.

a b c (Å): 4.207 17.436 13.296
angles (deg): 90.00 90.00 90.00
Space group Cmc2_1 (No. 36)
Asymmetric unit:
Ac (0.000, 0.105, 0.000) (multiplicity 4)
Ac (0.000, 0.143, 0.622) (multiplicity 4)
Tm (0.000, 0.207, 0.327) (multiplicity 4)
Sc (0.000, 0.472, 0.769) (multiplicity 4)
Se (0.000, 0.055, 0.383) (multiplicity 4)
Se (0.000, 0.280, 0.973) (multiplicity 4)
Se (0.000, 0.323, 0.683) (multiplicity 4)
Se (0.000, 0.370, 0.313) (multiplicity 4)
Se (0.000, 0.486, 0.082) (multiplicity 4)

## Properties
The value obtained for the uncorrected formation energy is -1.8179 eV/atom. As for the magnetization: 0.00 μB per atom.


# 11
First-principles (PBE) data for crystalline Ac2YScSe6 at its relaxed geometry, as listed in Alexandria via LeMat-Bulk.

a b c (Å): 7.074 7.792 12.527
angles (deg): 90.00 123.85 90.00
Space group P2_1/c (No. 14)
Asymmetric unit:
Ac (0.213, 0.097, 0.248) (multiplicity 4)
Y (0.500, 0.000, 0.000) (multiplicity 2)
Sc (0.000, 0.000, 0.500) (multiplicity 2)
Se (0.113, 0.193, 0.940) (multiplicity 4)
Se (0.256, 0.683, 0.942) (multiplicity 4)
Se (0.363, 0.031, 0.743) (multiplicity 4)

## Properties
The value obtained for the uncorrected formation energy is -1.9402 eV/atom. As for the magnetization: 0.00 μB per atom.


# 12
First-principles (PBE) data for crystalline Ac2YScSe4 at its relaxed geometry, as listed in Alexandria via LeMat-Bulk.

a b c (Å): 7.131 4.099 7.677
angles (deg): 90.00 107.93 90.00
Space group P2/m (No. 10)
Asymmetric unit:
Ac (0.000, 0.000, 0.000) (multiplicity 1)
Ac (0.500, 0.500, 0.000) (multiplicity 1)
Y (0.000, 0.500, 0.500) (multiplicity 1)
Sc (0.500, 0.000, 0.500) (multiplicity 1)
Se (0.246, 0.000, 0.715) (multiplicity 2)
Se (0.271, 0.500, 0.290) (multiplicity 2)

## Properties
The value obtained for the uncorrected formation energy is -1.7469 eV/atom. As for the magnetization: 0.00 μB per atom.


# 13
First-principles (PBE) data for crystalline Ac4Y3ScSe8 at its relaxed geometry, as listed in Alexandria via LeMat-Bulk.

a b c (Å): 8.2747 8.2747 22.0042
angles (deg): 90.00 90.00 120.00
Space group R-3m (No. 166, hexagonal axes)
Asymmetric unit:
Ac (0.0000, 0.0000, 0.0000) (multiplicity 3)
Ac (0.0000, 0.5000, 0.0000) (multiplicity 9)
Y (0.0000, 0.5000, 0.5000) (multiplicity 9)
Sc (0.0000, 0.0000, 0.5000) (multiplicity 3)
Se (0.0000, 0.0000, 0.2399) (multiplicity 6)
Se (0.0080, 0.5040, 0.2382) (multiplicity 18)

## Properties
The value obtained for the uncorrected formation energy is -1.7749 eV/atom. As for the magnetization: 0.00 μB per atom.


# 14
First-principles (PBE) data for crystalline Ac2ScZnSe6 at its relaxed geometry, as listed in Alexandria via LeMat-Bulk.

a b c (Å): 6.663 7.872 11.990
angles (deg): 90.00 122.68 90.00
Space group P2_1/c (No. 14)
Asymmetric unit:
Ac (0.200, 0.106, 0.250) (multiplicity 4)
Sc (0.500, 0.000, 0.000) (multiplicity 2)
Zn (0.000, 0.000, 0.500) (multiplicity 2)
Se (0.120, 0.181, 0.953) (multiplicity 4)
Se (0.286, 0.688, 0.953) (multiplicity 4)
Se (0.343, 0.019, 0.743) (multiplicity 4)

## Properties
The value obtained for the uncorrected formation energy is -1.4946 eV/atom. As for the magnetization: 0.00 μB per atom.


# 15
First-principles (PBE) data for crystalline Ac2ScZnSe5 at its relaxed geometry, as listed in Alexandria via LeMat-Bulk.

a b c (Å): 4.156 18.082 12.550
angles (deg): 90.00 90.00 90.00
Space group Cmc2_1 (No. 36)
Asymmetric unit:
Ac (0.000, 0.119, 0.000) (multiplicity 4)
Ac (0.000, 0.133, 0.621) (multiplicity 4)
Sc (0.000, 0.199, 0.325) (multiplicity 4)
Zn (0.000, 0.443, 0.759) (multiplicity 4)
Se (0.000, 0.049, 0.363) (multiplicity 4)
Se (0.000, 0.291, 0.971) (multiplicity 4)
Se (0.000, 0.310, 0.675) (multiplicity 4)
Se (0.000, 0.351, 0.314) (multiplicity 4)
Se (0.000, 0.497, 0.085) (multiplicity 4)

## Properties
The value obtained for the uncorrected formation energy is -1.6420 eV/atom. As for the magnetization: 0.00 μB per atom.


# 16
First-principles (PBE) data for crystalline Ac3ScSi7 at its relaxed geometry, as listed in Alexandria via LeMat-Bulk.

a b c (Å): 4.309 19.572 11.902
angles (deg): 90.00 90.00 90.00
Space group Cmcm (No. 63)
Asymmetric unit:
Ac (0.000, 0.106, 0.049) (multiplicity 8)
Ac (0.000, 0.245, 0.750) (multiplicity 4)
Sc (0.000, 0.045, 0.750) (multiplicity 4)
Si (0.000, 0.270, 0.034) (multiplicity 8)
Si (0.000, 0.369, 0.152) (multiplicity 8)
Si (0.000, 0.429, 0.750) (multiplicity 4)
Si (0.000, 0.487, 0.099) (multiplicity 8)

## Properties
The value obtained for the uncorrected formation energy is -0.5605 eV/atom. As for the magnetization: 0.00 μB per atom.


# 17
First-principles (PBE) data for crystalline AcScSi3 at its relaxed geometry, as listed in Alexandria via LeMat-Bulk.

a b c (Å): 4.411 24.498 3.967
angles (deg): 90.00 90.00 90.00
Space group Cmcm (No. 63)
Asymmetric unit:
Ac (0.000, 0.075, 0.250) (multiplicity 4)
Sc (0.000, 0.204, 0.750) (multiplicity 4)
Si (0.000, 0.314, 0.750) (multiplicity 4)
Si (0.000, 0.371, 0.250) (multiplicity 4)
Si (0.000, 0.473, 0.250) (multiplicity 4)

## Properties
The value obtained for the uncorrected formation energy is -0.5847 eV/atom. As for the magnetization: 0.00 μB per atom.


# 18
First-principles (PBE) data for crystalline AcSc2Si4 at its relaxed geometry, as listed in Alexandria via LeMat-Bulk.

a b c (Å): 3.872 4.319 17.166
angles (deg): 90.00 90.00 90.00
Space group Immm (No. 71)
Asymmetric unit:
Ac (0.000, 0.000, 0.000) (multiplicity 2)
Sc (0.000, 0.500, 0.317) (multiplicity 4)
Si (0.000, 0.000, 0.426) (multiplicity 4)
Si (0.000, 0.500, 0.159) (multiplicity 4)

## Properties
The value obtained for the uncorrected formation energy is -0.6432 eV/atom. As for the magnetization: 0.00 μB per atom.


# 19
First-principles (PBE) data for crystalline AcScSi2 at its relaxed geometry, as listed in Alexandria via LeMat-Bulk.

a b c (Å): 7.340 4.875 6.416
angles (deg): 90.00 119.09 90.00
Space group C2/m (No. 12)
Asymmetric unit:
Ac (0.000, 0.000, 0.000) (multiplicity 2)
Sc (0.000, 0.500, 0.500) (multiplicity 2)
Si (0.189, 0.000, 0.650) (multiplicity 4)

## Properties
The value obtained for the uncorrected formation energy is -0.5157 eV/atom. As for the magnetization: 0.00 μB per atom. The calculation puts the energy above the lowest structure with this stoichiometry at 96 meV/atom.